# 1
! TbCuPbSe3 | OQMD via LeMat-Bulk | PBE | optimized geometry; values from VASP
&SYSTEM
  ibrav = 0, nat = 24, ntyp = 4
/
ATOMIC_SPECIES
Cu 63.55 Cu.upf
Pb 207.20 Pb.upf
Se 78.96 Se.upf
Tb 158.93 Tb.upf
ATOMIC_POSITIONS crystal
Cu 0.2599 0.7500 0.2200
Cu 0.7599 0.7500 0.2800
Cu 0.2401 0.2500 0.7200
Cu 0.7401 0.2500 0.7800
Pb 0.2754 0.2500 0.0061
Pb 0.7754 0.2500 0.4939
Pb 0.2246 0.7500 0.5061
Pb 0.7246 0.7500 0.9939
Se 0.0843 0.7500 0.1045
Se 0.4502 0.7500 0.1140
Se 0.7618 0.2500 0.1705
Se 0.2618 0.2500 0.3295
Se 0.9502 0.7500 0.3860
Se 0.5843 0.7500 0.3955
Se 0.4157 0.2500 0.6045
Se 0.0498 0.2500 0.6140
Se 0.7382 0.7500 0.6705
Se 0.2382 0.7500 0.8295
Se 0.5498 0.2500 0.8860
Se 0.9157 0.2500 0.8955
Tb 0.0154 0.2500 0.2425
Tb 0.5154 0.2500 0.2575
Tb 0.4846 0.7500 0.7425
Tb 0.9846 0.7500 0.7575
CELL_PARAMETERS angstrom
-3.8525 -7.7379 6.2610
3.7730 -0.8451 1.2771
-1.4378 8.9394 10.1633
! size of the total moment = 0.0 μB per cell
! symmetry = Pnma (62)
! VASP energy = -114.43 eV/cell

# 2
! TbCuTe2PbSe | OQMD via LeMat-Bulk | PBE | optimized geometry; values from VASP
&SYSTEM
  ibrav = 0, nat = 12, ntyp = 5
/
ATOMIC_SPECIES
Cu 63.55 Cu.upf
Pb 207.20 Pb.upf
Se 78.96 Se.upf
Tb 158.93 Tb.upf
Te 127.60 Te.upf
ATOMIC_POSITIONS crystal
Cu 0.9735 0.0265 0.2500
Cu 0.0265 0.9735 0.7500
Pb 0.2409 0.7591 0.2500
Pb 0.7591 0.2409 0.7500
Se 0.5714 0.4286 0.2500
Se 0.4286 0.5714 0.7500
Tb 0.5000 0.5000 0.0000
Tb 0.5000 0.5000 0.5000
Te 0.8530 0.1470 0.0634
Te 0.8530 0.1470 0.4366
Te 0.1470 0.8530 0.5634
Te 0.1470 0.8530 0.9366
CELL_PARAMETERS angstrom
-0.3931 3.0090 6.9328
-3.3398 -4.2010 -5.3357
4.5337 -8.7597 4.0590
! size of the total moment = 0.0 μB per cell
! symmetry = Cmcm (63)
! VASP energy = -53.38 eV/cell

# 3
! TlCuTePbSe2 | OQMD via LeMat-Bulk | PBE | optimized geometry; values from VASP
&SYSTEM
  ibrav = 0, nat = 12, ntyp = 5
/
ATOMIC_SPECIES
Cu 63.55 Cu.upf
Pb 207.20 Pb.upf
Se 78.96 Se.upf
Te 127.60 Te.upf
Tl 204.38 Tl.upf
ATOMIC_POSITIONS crystal
Cu 0.4571 0.5429 0.2500
Cu 0.5429 0.4571 0.7500
Pb 0.0000 0.0000 0.0000
Pb 0.0000 0.0000 0.5000
Se 0.3629 0.6371 0.0793
Se 0.3629 0.6371 0.4207
Se 0.6371 0.3629 0.5793
Se 0.6371 0.3629 0.9207
Te 0.0762 0.9238 0.2500
Te 0.9238 0.0762 0.7500
Tl 0.7650 0.2350 0.2500
Tl 0.2350 0.7650 0.7500
CELL_PARAMETERS angstrom
-4.0539 3.9242 -4.9071
2.6433 -6.6165 2.2689
-9.5431 -1.5281 6.6617
! symmetry = Cmcm (63)
! VASP energy = -41.95 eV/cell

# 4
! TmCuPbSe3 | OQMD via LeMat-Bulk | PBE | optimized geometry; values from VASP
&SYSTEM
  ibrav = 0, nat = 24, ntyp = 4
/
ATOMIC_SPECIES
Cu 63.55 Cu.upf
Pb 207.20 Pb.upf
Se 78.96 Se.upf
Tm 168.93 Tm.upf
ATOMIC_POSITIONS crystal
Cu 0.2547 0.7500 0.2185
Cu 0.7547 0.7500 0.2815
Cu 0.2453 0.2500 0.7185
Cu 0.7453 0.2500 0.7815
Pb 0.2650 0.2500 0.0078
Pb 0.7650 0.2500 0.4922
Pb 0.2350 0.7500 0.5078
Pb 0.7350 0.7500 0.9922
Se 0.0714 0.7500 0.1073
Se 0.4474 0.7500 0.1137
Se 0.7562 0.2500 0.1714
Se 0.2562 0.2500 0.3286
Se 0.9474 0.7500 0.3863
Se 0.5714 0.7500 0.3927
Se 0.4286 0.2500 0.6073
Se 0.0526 0.2500 0.6137
Se 0.7438 0.7500 0.6714
Se 0.2438 0.7500 0.8286
Se 0.5526 0.2500 0.8863
Se 0.9286 0.2500 0.8927
Tm 0.0085 0.2500 0.2453
Tm 0.5085 0.2500 0.2547
Tm 0.4915 0.7500 0.7453
Tm 0.9915 0.7500 0.7547
CELL_PARAMETERS angstrom
-9.8419 3.5829 0.8813
-0.7125 -2.6792 2.9354
4.1287 9.0606 9.2720
! size of the total moment = 0.0 μB per cell
! symmetry = Pnma (62)
! VASP energy = -113.51 eV/cell

# 5
! Cu2Si3Pb2 | OQMD via LeMat-Bulk | PBE | optimized geometry; values from VASP
&SYSTEM
  ibrav = 0, nat = 7, ntyp = 3
/
ATOMIC_SPECIES
Cu 63.55 Cu.upf
Pb 207.20 Pb.upf
Si 28.09 Si.upf
ATOMIC_POSITIONS crystal
Cu 0.2324 0.2324 0.2324
Cu 0.7723 0.7723 0.7723
Pb 0.0515 0.0515 0.0515
Pb 0.4882 0.4882 0.4882
Si 0.3219 0.3219 0.3219
Si 0.6205 0.6205 0.6205
Si 0.8882 0.8882 0.8882
CELL_PARAMETERS angstrom
-7.1463 4.1961 4.1961
-4.1961 4.1961 7.1463
-4.1961 7.1463 4.1961
! symmetry = R3m (160)
! VASP energy = -28.45 eV/cell

# 6
! Cu2SiPb | OQMD via LeMat-Bulk | PBE | optimized geometry; values from VASP
&SYSTEM
  ibrav = 0, nat = 16, ntyp = 3
/
ATOMIC_SPECIES
Cu 63.55 Cu.upf
Pb 207.20 Pb.upf
Si 28.09 Si.upf
ATOMIC_POSITIONS crystal
Cu 0.2904 0.2904 0.2904
Cu 0.7096 0.2904 0.2904
Cu 0.2904 0.7096 0.2904
Cu 0.7096 0.7096 0.2904
Cu 0.2904 0.2904 0.7096
Cu 0.7096 0.2904 0.7096
Cu 0.2904 0.7096 0.7096
Cu 0.7096 0.7096 0.7096
Pb 0.0000 0.0000 0.0000
Pb 0.5000 0.0000 0.0000
Pb 0.0000 0.5000 0.0000
Pb 0.0000 0.0000 0.5000
Si 0.5000 0.5000 0.0000
Si 0.5000 0.0000 0.5000
Si 0.0000 0.5000 0.5000
Si 0.5000 0.5000 0.5000
CELL_PARAMETERS angstrom
6.5220 0.0000 0.0000
0.0000 6.5220 0.0000
0.0000 0.0000 6.5220
! symmetry = Pm-3m (221)
! VASP energy = -61.74 eV/cell

# 7
! Cu2SiPb | OQMD via LeMat-Bulk | PBE | optimized geometry; values from VASP
&SYSTEM
  ibrav = 0, nat = 16, ntyp = 3
/
ATOMIC_SPECIES
Cu 63.55 Cu.upf
Pb 207.20 Pb.upf
Si 28.09 Si.upf
ATOMIC_POSITIONS crystal
Cu 0.2097 0.2097 0.2097
Cu 0.7903 0.2097 0.2097
Cu 0.2097 0.7903 0.2097
Cu 0.7903 0.7903 0.2097
Cu 0.2097 0.2097 0.7903
Cu 0.7903 0.2097 0.7903
Cu 0.2097 0.7903 0.7903
Cu 0.7903 0.7903 0.7903
Pb 0.5000 0.5000 0.0000
Pb 0.5000 0.0000 0.5000
Pb 0.0000 0.5000 0.5000
Pb 0.5000 0.5000 0.5000
Si 0.0000 0.0000 0.0000
Si 0.5000 0.0000 0.0000
Si 0.0000 0.5000 0.0000
Si 0.0000 0.0000 0.5000
CELL_PARAMETERS angstrom
6.5220 0.0000 0.0000
0.0000 6.5220 0.0000
0.0000 0.0000 6.5220
! symmetry = Pm-3m (221)
! VASP energy = -61.74 eV/cell

# 8
! Cu2Si2Pb3 | OQMD via LeMat-Bulk | PBE | optimized geometry; values from VASP
&SYSTEM
  ibrav = 0, nat = 7, ntyp = 3
/
ATOMIC_SPECIES
Cu 63.55 Cu.upf
Pb 207.20 Pb.upf
Si 28.09 Si.upf
ATOMIC_POSITIONS crystal
Cu 0.0328 0.0328 0.0328
Cu 0.5329 0.5329 0.5329
Pb 0.4235 0.4235 0.4235
Pb 0.6210 0.6210 0.6210
Pb 0.8301 0.8301 0.8301
Si 0.2248 0.2248 0.2248
Si 0.7099 0.7099 0.7099
CELL_PARAMETERS angstrom
-7.6724 4.6172 4.6172
-4.6172 4.6172 7.6724
-4.6172 7.6724 4.6172
! symmetry = R3m (160)
! VASP energy = -26.78 eV/cell